(1)
First-principles (PBE) data for an optimized crystal structure of Nd4CoBi, as listed in the Alexandria database.

Results
Formation energy from the elements in eV per formula unit: -0.66
Spin magnetization in Bohr magnetons per cell: 0.000

```
Nd4CoBi
1.0
5.999 -0.564 0.000
-3.697 6.523 0.000
0.000 0.000 11.052
Nd Co Bi
8 2 2
Cartesian
0.824 4.318 8.289
1.478 1.641 2.763
1.779 0.570 8.289
0.523 5.390 2.763
-2.446 5.109 0.273
4.748 0.850 5.799
-2.446 5.109 5.253
4.748 0.850 10.779
4.929 0.532 8.289
-2.627 5.427 2.763
3.785 3.056 8.289
-1.483 2.903 2.763
```

***

(2)
First-principles (PBE) data for an optimized crystal structure of RbHo2H, as listed in the Alexandria database.

Results
Electronic total energy in eV/cell: -13.01
Spin magnetization in Bohr magnetons per cell: 0.170

```
RbHo2H
1.0
3.634 0.000 0.000
1.817 3.147 0.000
1.817 1.049 10.202
H Ho Rb
1 2 1
Cartesian
3.634 2.098 5.101
1.817 1.049 6.397
5.451 3.147 3.805
0.000 0.000 0.000
```

***

- Which of these has the lowest spin magnetization?
  Nd4CoBi

***

- Which formula does entry 1 have?
  Nd4CoBi